A geometry-optimized Li3NbSi structure. Source: Alexandria via LeMat-Bulk, functional PBE-GGA.

Total energy (eV/cell): -17.25
Energy relative to the elements, uncorrected (eV/atom): 0.7964
Crystal system: cubic
ΔE to the lowest computed polymorph (eV/atom): 0.0000
Space-group type: Pm-3m (221)

a b c (Å): 4.3330 4.3330 4.3330
angles (deg): 90.00 90.00 90.00
With the nearest neighbours (Å) after each atom.
Element x y z (fractional)
Li (0.5000, 0.0000, 0.0000)  2 Si 2.17
Li (0.0000, 0.5000, 0.0000)  2 Si 2.17
Nb (0.5000, 0.5000, 0.5000)  12 Li 3.06
Si (0.0000, 0.0000, 0.0000)  6 Li 2.17
Li (0.0000, 0.0000, 0.5000)  2 Si 2.17

---

A geometry-optimized LiNbSi3 structure. Source: Alexandria via LeMat-Bulk, functional PBE-GGA.

Total energy (eV/cell): -23.83
Energy relative to the elements, uncorrected (eV/atom): 0.8848
Crystal system: cubic
ΔE to the lowest computed polymorph (eV/atom): 0.4827
Space-group type: Pm-3m (221)

a b c (Å): 4.2580 4.2580 4.2580
angles (deg): 90.00 90.00 90.00
With the nearest neighbours (Å) after each atom.
Element x y z (fractional)
Si (0.0000, 0.5000, 0.0000)  2 Li 2.13
Si (0.0000, 0.0000, 0.5000)  2 Li 2.13
Nb (0.5000, 0.5000, 0.5000)  12 Si 3.01
Li (0.0000, 0.0000, 0.0000)  6 Si 2.13
Si (0.5000, 0.0000, 0.0000)  2 Li 2.13

---

A geometry-optimized LiNbSi structure. Source: Alexandria via LeMat-Bulk, functional PBE-GGA.

Total energy (eV/cell): -36.07
Energy relative to the elements, uncorrected (eV/atom): -0.2103
Crystal system: tetragonal
Space-group type: I4/mmm (139)

a b c (Å): 3.3718 3.3718 10.6845
angles (deg): 99.08 99.08 90.00
With the nearest neighbours (Å) after each atom.
Element x y z (fractional)
Li (0.5742, 0.5742, 0.1485)  1 Nb 2.89, 4 Si 2.92, 1 Li 3.09
Li (0.4258, 0.4258, 0.8515)  1 Nb 2.89, 4 Si 2.92, 1 Li 3.09
Nb (0.7128, 0.7128, 0.4257)  5 Si 2.67-2.76, 4 Nb 2.84, 1 Li 2.89
Si (0.8451, 0.8451, 0.6902)  5 Nb 2.67-2.76, 4 Li 2.92
Nb (0.2872, 0.2872, 0.5743)  5 Si 2.67-2.76, 4 Nb 2.84, 1 Li 2.89
Si (0.1549, 0.1549, 0.3098)  5 Nb 2.67-2.76, 4 Li 2.92

---

A geometry-optimized LiNb2Si2 structure. Source: Alexandria via LeMat-Bulk, functional PBE-GGA.

Total energy (eV/cell): -33.16
Energy relative to the elements, uncorrected (eV/atom): -0.0521
Crystal system: tetragonal
Space-group type: I4/mmm (139)

a b c (Å): 4.0011 4.0011 6.4106
angles (deg): 71.82 71.82 90.00
With the nearest neighbours (Å) after each atom.
Element x y z (fractional)
Li (0.0000, 0.0000, 0.0000)  8 Si 3.05
Nb (0.7500, 0.2500, 0.5000)  4 Si 2.65, 4 Nb 2.83
Nb (0.2500, 0.7500, 0.5000)  4 Si 2.65, 4 Nb 2.83
Si (0.4005, 0.4005, 0.1991)  1 Si 2.29
Si (0.5995, 0.5995, 0.8009)  1 Si 2.29

---

A geometry-optimized Li3NbSi structure. Source: Alexandria via LeMat-Bulk, functional PBE-GGA.

Total energy (eV/cell): -14.01
Energy relative to the elements, uncorrected (eV/atom): 1.4457
Crystal system: cubic
ΔE to the lowest computed polymorph (eV/atom): 0.6493
Space-group type: Pm-3m (221)

a b c (Å): 4.8846 4.8846 4.8846
angles (deg): 90.00 90.00 90.00
With the nearest neighbours (Å) after each atom.
Element x y z (fractional)
Li (0.0000, 0.5000, 0.0000)  2 Nb 2.44
Li (0.0000, 0.0000, 0.5000)  2 Nb 2.44
Li (0.5000, 0.0000, 0.0000)  2 Nb 2.44
Si (0.5000, 0.5000, 0.5000)  12 Li 3.45
Nb (0.0000, 0.0000, 0.0000)  6 Li 2.44

---

A geometry-optimized Sr2LiNbSi structure. Source: Alexandria via LeMat-Bulk, functional PBE-GGA.

Total energy (eV/cell): -15.74
Energy relative to the elements, uncorrected (eV/atom): 1.0056
Crystal system: tetragonal
Space-group type: P4/mmm (123)

a b c (Å): 5.3161 4.8017 5.3161
angles (deg): 90.00 90.00 90.00
With the nearest neighbours (Å) after each atom.
Element x y z (fractional)
Sr (0.5000, 0.0000, 0.0000)  2 Li 2.66
Nb (0.0000, 0.5000, 0.0000)  2 Li 2.40
Li (0.0000, 0.0000, 0.0000)  2 Nb 2.40, 4 Sr 2.66
Sr (0.0000, 0.0000, 0.5000)  2 Li 2.66
Si (0.5000, 0.5000, 0.5000)  8 Sr 3.58, 4 Nb 3.76

---

A geometry-optimized Li2YNbSi structure. Source: Alexandria via LeMat-Bulk, functional PBE-GGA.

Total energy (eV/cell): -22.51
Energy relative to the elements, uncorrected (eV/atom): 0.6550
Crystal system: tetragonal
Space-group type: P4/mmm (123)

a b c (Å): 4.6271 5.4384 4.6271
angles (deg): 90.00 90.00 90.00
With the nearest neighbours (Å) after each atom.
Element x y z (fractional)
Li (0.0000, 0.0000, 0.5000)  2 Si 2.31
Y (0.0000, 0.5000, 0.0000)  2 Si 2.72
Nb (0.5000, 0.5000, 0.5000)  4 Y 3.27, 8 Li 3.57
Li (0.5000, 0.0000, 0.0000)  2 Si 2.31
Si (0.0000, 0.0000, 0.0000)  4 Li 2.31

---

A geometry-optimized LiSmThNb structure. Source: Alexandria via LeMat-Bulk, functional PBE-GGA.

Total energy (eV/cell): -23.19
Crystal system: cubic
Formation energy (meV per atom): 233
Space-group type: F-43m (216)

a b c (Å): 5.1736 5.1736 5.1736
angles (deg): 60.00 60.00 60.00
With the nearest neighbours (Å) after each atom.
Element x y z (fractional)
Nb (0.2500, 0.2500, 0.2500)  4 Th 3.17, 4 Sm 3.17
Th (0.5000, 0.5000, 0.5000)  4 Nb 3.17, 4 Li 3.17
Li (0.7500, 0.7500, 0.7500)  4 Sm 3.17, 4 Th 3.17
Sm (0.0000, 0.0000, 0.0000)  4 Li 3.17, 4 Nb 3.17